1.
## Tb3Tm6In (GGA-PBE)

Data for a relaxed structure of Tb3Tm6In.

Unit cell a=7.568 b=9.230 c=9.230 alpha=102.62 beta=90.00 gamma=90.00
Positions (direct):
Tb  0.392  0.003  0.715
Tb  0.892  0.715  0.003
Tb  0.328  0.374  0.626
Tb  0.828  0.626  0.374
Tb  0.892  0.997  0.285
Tb  0.392  0.285  0.997
Tm  0.090  0.726  0.688
Tm  0.590  0.688  0.726
Tm  0.291  0.602  0.982
Tm  0.791  0.982  0.602
Tm  0.217  0.969  0.031
Tm  0.843  0.374  0.626
Tm  0.343  0.626  0.374
Tm  0.717  0.031  0.969
Tm  0.291  0.018  0.398
Tm  0.791  0.398  0.018
Tm  0.090  0.312  0.274
Tm  0.590  0.274  0.312
In  0.052  0.177  0.823
In  0.552  0.823  0.177

Results
VASP energy = -83.7 eV/cell
space-group type = Cmc2_1
energy of formation from the pure elements = 160 meV per atom

---

2.
## Tb2Tm3In (GGA-PBE)

Data for a relaxed structure of Tb2Tm3In.

Unit cell a=5.375 b=9.004 c=9.004 alpha=117.18 beta=90.00 gamma=90.00
Positions (direct):
Tb  0.493  0.715  0.510
Tb  0.993  0.490  0.285
Tb  0.493  0.510  0.715
Tb  0.993  0.285  0.490
Tm  0.994  0.877  0.366
Tm  0.494  0.634  0.123
Tm  0.994  0.366  0.877
Tm  0.494  0.123  0.634
Tm  0.493  0.919  0.919
Tm  0.993  0.081  0.081
In  0.993  0.729  0.729
In  0.493  0.271  0.271

Results
VASP energy = -48.0 eV/cell
space-group type = Cmcm
energy of formation from the pure elements = 235 meV per atom

---

3.
## TbTm6In3 (GGA-PBE)

Data for a relaxed structure of TbTm6In3.

Unit cell a=7.606 b=9.173 c=9.173 alpha=111.15 beta=90.00 gamma=90.00
Positions (direct):
Tb  0.081  0.211  0.789
Tb  0.581  0.789  0.211
Tm  0.105  0.765  0.699
Tm  0.605  0.699  0.765
Tm  0.295  0.552  0.925
Tm  0.795  0.925  0.552
Tm  0.295  0.953  0.047
Tm  0.629  0.299  0.701
Tm  0.129  0.701  0.299
Tm  0.795  0.047  0.953
Tm  0.295  0.075  0.448
Tm  0.795  0.448  0.075
Tm  0.105  0.301  0.235
Tm  0.605  0.235  0.301
In  0.431  0.985  0.718
In  0.931  0.718  0.985
In  0.320  0.444  0.556
In  0.820  0.556  0.444
In  0.931  0.015  0.282
In  0.431  0.282  0.015

Results
VASP energy = -81.7 eV/cell
space-group type = Cmc2_1
energy of formation from the pure elements = -119 meV per atom

---

4.
## Tb6TmIn4 (GGA-PBE)

Data for a relaxed structure of Tb6TmIn4.

Unit cell a=8.010 b=8.088 c=8.088 alpha=86.22 beta=122.57 gamma=122.57
Positions (direct):
Tb  0.000  0.896  0.545
Tb  0.000  0.545  0.896
Tb  0.596  0.089  0.089
Tb  0.500  0.001  0.501
Tb  0.404  0.494  0.494
Tb  0.500  0.501  0.001
Tm  0.000  0.985  0.986
In  0.000  0.266  0.592
In  0.658  0.394  0.394
In  0.000  0.592  0.266
In  0.341  0.736  0.736

Results
VASP energy = -44.3 eV/cell
space-group type = Fmm2
energy of formation from the pure elements = -96 meV per atom

---

Look up the VASP energy of the first one. -83.7 eV/cell